Here is Y2ScTl after structural relaxation from the Alexandria database. Energies are from GGA-PBE.

Cell lengths 5.3773, 5.3773, 5.3773 Å; angles 60.00, 60.00, 60.00 degrees
Last column: magnetic moment on the atom in μB.
Fractional positions:
Y1 0.2500 0.2500 0.2500  0.23
Y2 0.7500 0.7500 0.7500  0.23
Sc1 0.0000 0.0000 0.0000  0.51
Tl1 0.5000 0.5000 0.5000  -0.01

Output
D(E_F): 0.994 states/eV/atom
DFT formation energy: -0.080 eV/atom

=====

Here is Y5Sc4Tl4 after structural relaxation from the Alexandria database. Energies are from GGA-PBE.

Cell lengths 4.7784, 8.9637, 8.9637 Å; angles 85.93, 74.54, 74.54 degrees
Fractional positions:
Y1 0.6939 0.9200 0.6922
Y2 0.3061 0.0800 0.3078
Y3 0.0000 0.0000 0.0000
Y4 0.6139 0.6922 0.0800
Y5 0.3861 0.3078 0.9200
Sc1 0.9025 0.5151 0.6800
Sc2 0.5824 0.3200 0.5151
Sc3 0.0975 0.4849 0.3200
Sc4 0.4176 0.6800 0.4849
Tl1 0.7535 0.3262 0.1668
Tl2 0.2465 0.6738 0.8332
Tl3 0.9203 0.8332 0.3262
Tl4 0.0797 0.1668 0.6738

Output
D(E_F): 0.874 states/eV/atom
DFT formation energy: -0.275 eV/atom